Record 1
8
Lattice="7.882 0.000 0.000 0.000 4.403 0.000 -2.405 0.000 7.768" Properties=species:S:1:pos:R:3 comment="NaUIn2Te4 PBE optimized geometry" e_form_raw_kj_per_mol_atoms=-48.8 m_tot_mub_per_cell=2.0 n_ef_per_ev_fu=6.06 space_group="No. 10" pbc="T T T"
Na 0.000 0.000 0.000
U 3.941 2.202 0.000
In -1.203 2.202 3.884
In 2.738 0.000 3.884
Te 0.319 0.000 5.993
Te 1.591 2.202 1.886
Te 5.157 0.000 1.776
Te 3.886 2.202 5.882

=====

Record 2
8
Lattice="7.789 0.000 0.000 0.000 4.434 0.000 -2.571 0.000 7.553" Properties=species:S:1:pos:R:3 comment="Na2UInTe4 PBE optimized geometry" e_form_raw_kj_per_mol_atoms=-64.9 m_tot_mub_per_cell=2.2 n_ef_per_ev_fu=5.48 space_group="No. 10" pbc="T T T"
Na 0.000 0.000 0.000
Na -1.285 2.217 3.776
U 2.609 0.000 3.776
In 3.894 2.217 0.000
Te 1.418 2.217 1.980
Te 0.211 0.000 5.632
Te 5.008 0.000 1.920
Te 3.800 2.217 5.573

=====

Record 3
15
Lattice="7.532 -4.334 0.000 7.532 4.334 0.000 -5.029 0.000 7.754" Properties=species:S:1:pos:R:3 comment="Na3Y3InTe8 PBE optimized geometry" e_form_raw_kj_per_mol_atoms=-100.9 m_tot_mub_per_cell=0.0 n_ef_per_ev_fu=7.80 space_group="No. 12" pbc="T T T"
Na 0.000 0.000 0.000
Na 3.766 2.167 0.000
Na 3.766 -2.167 0.000
Y 1.252 2.167 3.877
Y 1.252 -2.167 3.877
Y 5.018 0.000 3.877
In -2.514 0.000 3.877
Te -0.024 0.000 5.657
Te 3.770 2.184 5.657
Te 6.265 2.184 2.096
Te 2.509 0.000 2.071
Te 7.526 0.000 5.682
Te 3.770 -2.184 5.657
Te 6.265 -2.184 2.096
Te 10.059 0.000 2.096

=====

Record 4
8
Lattice="7.720 0.000 0.000 0.000 4.242 0.000 -2.410 0.000 7.487" Properties=species:S:1:pos:R:3 comment="Na2ZrInTe4 PBE optimized geometry" e_form_raw_kj_per_mol_atoms=-72.2 m_tot_mub_per_cell=0.0 n_ef_per_ev_fu=2.60 space_group="No. 10" pbc="T T T"
Na 0.000 0.000 0.000
Na 3.860 2.121 0.000
Zr -1.205 2.121 3.743
In 2.655 0.000 3.743
Te 0.039 0.000 5.404
Te 1.208 2.121 2.078
Te 4.102 2.121 5.408
Te 5.271 0.000 2.082

=====

Record 5
4
Lattice="4.912 0.000 0.000 0.000 4.912 0.000 0.000 0.000 4.556" Properties=species:S:1:pos:R:3 comment="NaThIn2 PBE optimized geometry" m_tot_mub_per_cell=0.0 n_ef_per_ev_fu=1.65 space_group="No. 123" e_tot_ev_per_atom=-3.694 pbc="T T T"
Na 0.000 0.000 0.000
Th 2.456 2.456 0.000
In 0.000 2.456 2.278
In 2.456 0.000 2.278

=====

Record 6
16
Lattice="7.631 0.000 0.000 0.000 7.631 0.000 0.000 0.000 7.631" Properties=species:S:1:pos:R:3 comment="NaThIn2 PBE optimized geometry" m_tot_mub_per_cell=0.0 n_ef_per_ev_fu=2.82 space_group="No. 225" e_tot_ev_per_atom=-3.655 pbc="T T T"
Na 0.000 0.000 0.000
Na 0.000 3.815 3.815
Na 3.815 0.000 3.815
Na 3.815 3.815 0.000
Th 0.000 0.000 3.815
Th 0.000 3.815 0.000
Th 3.815 0.000 0.000
Th 3.815 3.815 3.815
In 1.908 1.908 1.908
In 1.908 1.908 5.723
In 1.908 5.723 1.908
In 1.908 5.723 5.723
In 5.723 1.908 1.908
In 5.723 1.908 5.723
In 5.723 5.723 1.908
In 5.723 5.723 5.723

=====

Record 7
4
Lattice="3.630 0.000 0.000 0.000 3.630 0.000 0.000 0.000 8.341" Properties=species:S:1:pos:R:3 comment="NaThIn2 PBE optimized geometry" m_tot_mub_per_cell=0.0 n_ef_per_ev_fu=2.42 space_group="No. 123" e_tot_ev_per_atom=-3.728 pbc="T T T"
Na 0.000 0.000 0.000
Th 0.000 0.000 4.171
In 1.815 1.815 1.972
In 1.815 1.815 6.370

=====

Record 8
8
Lattice="6.695 0.000 0.000 0.000 6.695 0.000 0.000 0.000 4.722" Properties=species:S:1:pos:R:3 comment="NaThIn6 PBE optimized geometry" m_tot_mub_per_cell=0.0 n_ef_per_ev_fu=4.21 space_group="No. 123" e_tot_ev_per_atom=-3.327 pbc="T T T"
Na 0.000 0.000 0.000
Th 3.348 3.348 0.000
In 0.000 3.348 0.000
In 1.650 1.650 2.361
In 1.650 5.045 2.361
In 3.348 0.000 0.000
In 5.045 1.650 2.361
In 5.045 5.045 2.361

=====

Record 9
12
Lattice="17.953 0.000 0.000 0.000 3.414 0.000 0.000 0.000 5.914" Properties=species:S:1:pos:R:3 comment="NaThIn PBE optimized geometry" m_tot_mub_per_cell=0.0 n_ef_per_ev_fu=2.16 space_group="No. 38" e_tot_ev_per_atom=-3.796 pbc="T T T"
Na 2.824 0.000 0.000
Na 2.824 1.707 2.957
Na 15.129 0.000 0.000
Na 15.129 1.707 2.957
Th 6.180 0.000 3.928
Th 6.180 1.707 0.972
Th 11.773 0.000 3.928
Th 11.773 1.707 0.972
In 0.000 0.000 3.945
In 0.000 1.707 0.988
In 8.976 0.000 5.899
In 8.976 1.707 2.942

=====

Record 10
12
Lattice="3.387 0.000 0.000 -1.693 2.933 0.000 0.000 0.000 38.416" Properties=species:S:1:pos:R:3 comment="NaTh2In PBE optimized geometry" m_tot_mub_per_cell=0.0 n_ef_per_ev_fu=3.88 space_group="No. 166" e_tot_ev_per_atom=-4.583 pbc="T T T"
Na 0.000 0.000 0.000
Na 0.000 1.955 25.611
Na 1.693 0.978 12.805
Th 0.000 0.000 3.573
Th 0.000 0.000 34.843
Th 0.000 1.955 22.038
Th 0.000 1.955 29.184
Th 1.693 0.978 9.232
Th 1.693 0.978 16.378
In 0.000 0.000 19.208
In 0.000 1.955 6.403
In 1.693 0.978 32.013

=====

Record 11
12
Lattice="3.407 0.000 0.000 -1.704 2.951 0.000 0.000 0.000 33.583" Properties=species:S:1:pos:R:3 comment="NaThIn2 PBE optimized geometry" m_tot_mub_per_cell=0.0 n_ef_per_ev_fu=2.33 space_group="No. 166" e_tot_ev_per_atom=-3.651 pbc="T T T"
Na 0.000 0.000 0.000
Na 0.000 1.967 22.389
Na 1.704 0.984 11.194
Th 0.000 0.000 16.792
Th 0.000 1.967 5.597
Th 1.704 0.984 27.986
In 0.000 0.000 8.477
In 0.000 0.000 25.106
In 0.000 1.967 13.912
In 0.000 1.967 30.866
In 1.704 0.984 2.717
In 1.704 0.984 19.672

=====

Record 12
12
Lattice="3.225 0.000 0.000 -1.612 2.793 0.000 0.000 0.000 30.861" Properties=species:S:1:pos:R:3 comment="NaTiIn2 PBE optimized geometry" m_tot_mub_per_cell=3.5 n_ef_per_ev_fu=3.67 space_group="No. 166" e_tot_ev_per_atom=-3.625 pbc="T T T"
Na 0.000 0.000 0.000
Na 0.000 1.862 20.574
Na 1.612 0.931 10.287
Ti 0.000 0.000 15.430
Ti 0.000 1.862 5.143
Ti 1.612 0.931 25.717
In 0.000 0.000 7.508
In 0.000 0.000 23.352
In 0.000 1.862 13.065
In 0.000 1.862 28.082
In 1.612 0.931 2.778
In 1.612 0.931 17.795

=====

Record 13
16
Lattice="7.895 0.000 0.000 0.000 7.895 0.000 0.000 0.000 5.437" Properties=species:S:1:pos:R:3 comment="NaTi2In PBE optimized geometry" m_tot_mub_per_cell=0.2 n_ef_per_ev_fu=5.32 space_group="No. 122" e_tot_ev_per_atom=-4.284 pbc="T T T"
Na 0.000 0.000 0.000
Na 0.000 3.948 1.359
Na 3.948 0.000 4.078
Na 3.948 3.948 2.719
Ti 1.922 1.974 3.398
Ti 1.974 5.870 4.758
Ti 1.974 5.974 2.039
Ti 2.026 1.974 0.680
Ti 5.870 5.922 0.680
Ti 5.922 1.922 2.039
Ti 5.922 2.026 4.758
Ti 5.974 5.922 3.398
In 0.000 0.000 2.719
In 0.000 3.948 4.078
In 3.948 0.000 1.359
In 3.948 3.948 0.000

=====

Record 14
5
Lattice="5.809 0.000 0.000 0.000 5.809 0.000 0.000 0.000 5.809" Properties=species:S:1:pos:R:3 comment="Na3TiIn PBE optimized geometry" m_tot_mub_per_cell=3.7 n_ef_per_ev_fu=7.28 space_group="No. 221" e_tot_ev_per_atom=-1.915 pbc="T T T"
Na 0.000 0.000 2.904
Na 0.000 2.904 0.000
Na 2.904 0.000 0.000
Ti 0.000 0.000 0.000
In 2.904 2.904 2.904

=====

Record 15
16
Lattice="7.049 0.000 0.000 0.000 7.049 0.000 0.000 0.000 7.049" Properties=species:S:1:pos:R:3 comment="NaTiIn2 PBE optimized geometry" m_tot_mub_per_cell=0.0 n_ef_per_ev_fu=4.51 space_group="No. 225" e_tot_ev_per_atom=-3.559 pbc="T T T"
Na 0.000 0.000 0.000
Na 0.000 3.524 3.524
Na 3.524 0.000 3.524
Na 3.524 3.524 0.000
Ti 0.000 0.000 3.524
Ti 0.000 3.524 0.000
Ti 3.524 0.000 0.000
Ti 3.524 3.524 3.524
In 1.762 1.762 1.762
In 1.762 1.762 5.286
In 1.762 5.286 1.762
In 1.762 5.286 5.286
In 5.286 1.762 1.762
In 5.286 1.762 5.286
In 5.286 5.286 1.762
In 5.286 5.286 5.286

=====

Record 16
4
Lattice="3.119 0.000 0.000 0.000 3.119 0.000 0.000 0.000 9.184" Properties=species:S:1:pos:R:3 comment="NaTiIn2 PBE optimized geometry" m_tot_mub_per_cell=0.0 n_ef_per_ev_fu=3.23 space_group="No. 123" e_tot_ev_per_atom=-3.737 pbc="T T T"
Na 0.000 0.000 0.000
Ti 0.000 0.000 4.592
In 1.560 1.560 2.561
In 1.560 1.560 6.624

=====

Record 17
5
Lattice="5.695 0.000 0.000 0.000 5.695 0.000 0.000 0.000 5.695" Properties=species:S:1:pos:R:3 comment="Na3TiIn PBE optimized geometry" m_tot_mub_per_cell=0.1 n_ef_per_ev_fu=20.38 space_group="No. 221" e_tot_ev_per_atom=-1.919 pbc="T T T"
Na 0.000 0.000 2.848
Na 0.000 2.848 0.000
Na 2.848 0.000 0.000
Ti 2.848 2.848 2.848
In 0.000 0.000 0.000

=====

Record 18
4
Lattice="5.231 0.000 0.000 0.000 5.231 0.000 0.000 0.000 3.139" Properties=species:S:1:pos:R:3 comment="NaTiIn2 PBE optimized geometry" m_tot_mub_per_cell=0.7 n_ef_per_ev_fu=1.57 space_group="No. 123" e_tot_ev_per_atom=-3.706 pbc="T T T"
Na 0.000 0.000 0.000
Ti 2.615 2.615 0.000
In 0.000 2.615 1.569
In 2.615 0.000 1.569

=====

Record 19
5
Lattice="5.235 0.000 0.000 0.000 5.235 0.000 0.000 0.000 5.236" Properties=species:S:1:pos:R:3 comment="NaTiTlIn2 PBE optimized geometry" m_tot_mub_per_cell=0.0 n_ef_per_ev_fu=5.25 space_group="No. 123" e_tot_ev_per_atom=-2.472 pbc="T T T"
Na 0.000 0.000 0.000
Ti 2.618 2.618 2.618
Tl 0.000 0.000 2.618
In 0.000 2.618 0.000
In 2.618 0.000 0.000

=====

Record 20
5
Lattice="5.766 0.000 0.000 0.000 5.766 0.000 0.000 0.000 4.721" Properties=species:S:1:pos:R:3 comment="Na2ZrTiIn PBE optimized geometry" m_tot_mub_per_cell=0.0 n_ef_per_ev_fu=4.09 space_group="No. 123" e_tot_ev_per_atom=-3.239 pbc="T T T"
Na 0.000 2.883 0.000
Na 2.883 0.000 0.000
Zr 0.000 0.000 0.000
Ti 0.000 0.000 2.360
In 2.883 2.883 2.360

=====

Record 21
11
Lattice="10.612 0.000 0.000 -5.306 9.190 0.000 0.000 0.000 3.502" Properties=species:S:1:pos:R:3 comment="Na5Tl3In3 PBE optimized geometry" m_tot_mub_per_cell=0.0 n_ef_per_ev_fu=6.30 space_group="No. 189" e_tot_ev_per_atom=-2.007 pbc="T T T"
Na -3.486 6.039 0.000
Na 0.000 6.127 0.000
Na 1.819 3.151 0.000
Na 6.973 0.000 0.000
Na 5.306 3.063 0.000
Tl -2.136 3.700 1.751
Tl 4.272 0.000 1.751
Tl 3.170 5.490 1.751
In -0.874 1.514 0.000
In 1.749 0.000 0.000
In 4.431 7.675 0.000

=====

Record 22
16
Lattice="9.312 0.000 0.000 -4.656 8.065 0.000 0.000 0.000 6.311" Properties=species:S:1:pos:R:3 comment="Na3Tl10In3 PBE optimized geometry" m_tot_mub_per_cell=0.0 n_ef_per_ev_fu=7.65 space_group="No. 189" e_tot_ev_per_atom=-2.261 pbc="T T T"
Na -2.754 4.770 0.000
Na 1.902 3.295 0.000
Na 5.508 0.000 0.000
Tl -1.036 1.794 0.000
Tl -3.606 6.245 3.155
Tl 2.072 0.000 0.000
Tl 1.050 1.819 3.155
Tl 0.000 5.376 1.572
Tl 0.000 5.376 4.739
Tl 4.656 2.688 1.572
Tl 4.656 2.688 4.739
Tl 7.212 0.000 3.155
Tl 3.620 6.270 0.000
In -1.917 3.320 3.155
In 3.833 0.000 3.155
In 2.739 4.745 3.155

=====

Record 23
12
Lattice="4.873 -4.834 0.000 4.873 4.834 0.000 -2.549 0.000 7.394" Properties=species:S:1:pos:R:3 comment="Na3Tl8In PBE optimized geometry" m_tot_mub_per_cell=0.0 n_ef_per_ev_fu=6.00 space_group="No. 8" e_tot_ev_per_atom=-2.203 pbc="T T T"
Na 0.000 0.000 0.000
Na 4.817 2.366 2.580
Na 4.817 -2.366 2.580
Tl 2.435 2.407 0.067
Tl -0.097 0.000 5.024
Tl 2.356 2.394 5.043
Tl 2.351 0.000 2.564
Tl 2.435 -2.407 0.067
Tl 2.356 -2.394 5.043
Tl 4.788 0.000 5.018
Tl 7.261 0.000 2.500
In 4.853 0.000 0.043

=====

Record 24
29
Lattice="0.000 7.519 7.519 7.519 0.000 7.519 7.519 7.519 0.000" Properties=species:S:1:pos:R:3 comment="Na6Tl16In7 PBE optimized geometry" m_tot_mub_per_cell=0.0 n_ef_per_ev_fu=12.99 space_group="No. 225" e_tot_ev_per_atom=-2.276 pbc="T T T"
Na 7.519 7.519 3.477
Na 7.519 3.477 7.519
Na 11.561 7.519 7.519
Na 3.477 7.519 7.519
Na 7.519 11.561 7.519
Na 7.519 7.519 11.561
Tl 2.096 2.096 2.096
Tl 5.423 5.423 2.096
Tl 5.423 2.096 5.423
Tl 9.267 5.771 5.771
Tl 5.771 5.771 5.771
Tl 9.267 9.267 5.771
Tl 9.267 5.771 9.267
Tl 12.942 9.615 9.615
Tl 2.096 5.423 5.423
Tl 5.771 9.267 5.771
Tl 5.771 5.771 9.267
Tl 9.267 9.267 9.267
Tl 5.771 9.267 9.267
Tl 9.615 12.942 9.615
Tl 9.615 9.615 12.942
Tl 12.942 12.942 12.942
In 0.000 0.000 0.000
In 3.760 3.760 0.000
In 3.760 0.000 3.760
In 7.519 3.760 3.760
In 0.000 3.760 3.760
In 3.760 7.519 3.760
In 3.760 3.760 7.519